Entry 1:
DFT (PBE) results for an optimized crystal structure of Al2TlI.

Values from the calculation:
Mass density (g/cm³): 5.97

a = 5.3323 Å, b = 5.3323 Å, c = 5.3323 Å
α = 60.00°, β = 60.00°, γ = 60.00°
With the nearest neighbours (Å) after each atom.
Element x y z (fractional)
1 Tl 0.5000 0.5000 0.5000  8 Al 3.27
2 Al 0.2500 0.2500 0.2500  4 Tl 3.27, 4 I 3.27
3 I 0.0000 0.0000 0.0000  8 Al 3.27
4 Al 0.7500 0.7500 0.7500  4 Tl 3.27, 4 I 3.27

=====

Entry 2:
DFT (PBE) results for an optimized crystal structure of AlTl2I5.

Values from the calculation:
Mass density (g/cm³): 4.48

a = 8.2336 Å, b = 8.2336 Å, c = 8.2514 Å
α = 119.95°, β = 119.95°, γ = 89.97°
With the nearest neighbours (Å) after each atom.
Element x y z (fractional)
1 I 0.8046 0.8046 0.0686  1 Al 2.74
2 I 0.2638 0.2638 0.0682  1 Al 2.74
3 Tl 0.6960 0.1962 0.3921  4 I 3.48
4 I 0.2641 0.8047 0.0688  1 Al 2.74
5 Tl 0.1962 0.6960 0.3921  4 I 3.48
6 I 0.7634 0.7634 0.5271  1 Al 2.58
7 Al 0.9841 0.9841 0.9683  5 I 2.58-2.74
8 I 0.8047 0.2641 0.0688  1 Al 2.74

=====

Entry 3:
DFT (PBE) results for an optimized crystal structure of AlTlI3.

Values from the calculation:
Mass density (g/cm³): 5.28

a = 5.7729 Å, b = 5.7729 Å, c = 5.7729 Å
α = 90.00°, β = 90.00°, γ = 90.00°
With the nearest neighbours (Å) after each atom.
Element x y z (fractional)
1 I 0.0000 0.0000 0.5000  2 Al 2.89
2 I 0.0000 0.5000 0.0000  2 Al 2.89
3 Tl 0.5000 0.5000 0.5000  12 I 4.08
4 I 0.5000 0.0000 0.0000  2 Al 2.89
5 Al 0.0000 0.0000 0.0000  6 I 2.89

=====

Entry 4:
DFT (PBE) results for an optimized crystal structure of Al2Tl2I.

Values from the calculation:
Mass density (g/cm³): 6.63

a = 3.9218 Å, b = 3.9218 Å, c = 9.9965 Å
α = 78.69°, β = 78.69°, γ = 90.00°
With the nearest neighbours (Å) after each atom.
Element x y z (fractional)
1 Al 0.2500 0.7500 0.5000  4 Al 2.77
2 Al 0.7500 0.2500 0.5000  4 Al 2.77
3 I 0.0000 0.0000 0.0000  8 Tl 3.52, 4 I 3.92
4 Tl 0.6126 0.6126 0.7748  4 Al 3.29, 4 I 3.52
5 Tl 0.3874 0.3874 0.2252  4 Al 3.29, 4 I 3.52

=====

Entry 5:
DFT (PBE) results for an optimized crystal structure of AlTl2I5.

Values from the calculation:
Mass density (g/cm³): 4.43

a = 11.3412 Å, b = 10.1411 Å, c = 14.5844 Å
α = 90.00°, β = 106.94°, γ = 90.00°
With the nearest neighbours (Å) after each atom.
Element x y z (fractional)
1 I 0.7053 0.4512 0.7041  1 Al 2.59
2 I 0.6741 0.5685 0.3800  1 Al 2.58
3 I 0.3259 0.4315 0.6200  1 Al 2.58
4 I 0.2947 0.5488 0.2959  1 Al 2.59
5 I 0.4852 0.3725 0.1227  1 Al 2.56
6 I 0.2053 0.0488 0.7041  1 Al 2.59
7 Al 0.0089 0.9177 0.7036  4 I 2.55-2.59
8 Tl 0.2027 0.6073 0.0387  5 I 3.44-3.79
9 I 0.7947 0.9512 0.2959  1 Al 2.59
10 Al 0.4911 0.4177 0.2964  4 I 2.55-2.59
11 Tl 0.9708 0.6555 0.3344  3 I 3.28-3.56
12 Tl 0.7027 0.8927 0.0387  5 I 3.44-3.79
13 I 0.8259 0.0685 0.6200  1 Al 2.58
14 I 0.4358 0.8466 0.1033  4 Tl 3.28-3.51
15 I 0.9852 0.1275 0.1227  1 Al 2.56
16 I 0.9358 0.6534 0.1033  4 Tl 3.28-3.51
17 Tl 0.5292 0.1555 0.6656  3 I 3.28-3.56
18 Al 0.9911 0.0823 0.2964  4 I 2.55-2.59
19 I 0.9977 0.7057 0.6069  1 Al 2.55
20 I 0.5023 0.2057 0.3931  1 Al 2.55
21 I 0.1741 0.9315 0.3800  1 Al 2.58
22 Tl 0.7973 0.3927 0.9613  5 I 3.44-3.79
23 I 0.5148 0.6275 0.8773  1 Al 2.56
24 I 0.0023 0.2943 0.3931  1 Al 2.55
25 I 0.5642 0.1534 0.8967  4 Tl 3.28-3.51
26 Tl 0.0292 0.3445 0.6656  3 I 3.28-3.56
27 Al 0.5089 0.5823 0.7036  4 I 2.55-2.59
28 Tl 0.2973 0.1073 0.9613  5 I 3.44-3.79
29 I 0.4977 0.7943 0.6069  1 Al 2.55
30 I 0.0148 0.8725 0.8773  1 Al 2.56
31 Tl 0.4708 0.8445 0.3344  3 I 3.28-3.56
32 I 0.0642 0.3466 0.8967  4 Tl 3.28-3.51

=====

Entry 6:
DFT (PBE) results for an optimized crystal structure of Al2TlI6.

Values from the calculation:
Mass density (g/cm³): 3.68

a = 8.0752 Å, b = 8.0752 Å, c = 9.3934 Å
α = 64.54°, β = 64.54°, γ = 60.00°
With the nearest neighbours (Å) after each atom.
Element x y z (fractional)
1 Tl 0.3384 0.3384 0.9849  6 I 3.56-3.59
2 I 0.0354 0.7857 0.7496  1 Al 2.55
3 I 0.5782 0.8874 0.2555  1 Al 2.55
4 I 0.2789 0.5782 0.2555  1 Al 2.55
5 Al 0.7233 0.7233 0.8301  3 I 2.55, 1 Al 2.79
6 I 0.7857 0.4293 0.7496  1 Al 2.55
7 I 0.8874 0.2789 0.2555  1 Al 2.55
8 I 0.4293 0.0354 0.7496  1 Al 2.55
9 Al 0.6091 0.6091 0.1728  3 I 2.55, 1 Al 2.79

=====

Entry 7:
DFT (PBE) results for an optimized crystal structure of AlTlI2.

Values from the calculation:
Mass density (g/cm³): 3.58

a = 7.3407 Å, b = 7.3407 Å, c = 9.8291 Å
α = 68.07°, β = 68.07°, γ = 90.00°
With the nearest neighbours (Å) after each atom.
Element x y z (fractional)
1 I 0.1539 0.6250 0.2500  2 Al 3.22, 2 Tl 3.45
2 Tl 0.0000 0.0000 0.0000  4 I 3.45
3 Al 0.5000 0.5000 0.0000  4 I 3.22
4 I 0.5961 0.1250 0.2500  2 Al 3.22, 2 Tl 3.45
5 I 0.8750 0.8461 0.7500  2 Al 3.22, 2 Tl 3.45
6 Tl 0.7500 0.2500 0.5000  4 I 3.45
7 I 0.3750 0.4039 0.7500  2 Al 3.22, 2 Tl 3.45
8 Al 0.2500 0.7500 0.5000  4 I 3.22

=====

Entry 8:
DFT (PBE) results for an optimized crystal structure of AlTl3I6.

Values from the calculation:
Mass density (g/cm³): 4.71

a = 8.4241 Å, b = 10.9706 Å, c = 10.9706 Å
α = 102.84°, β = 90.00°, γ = 90.00°
With the nearest neighbours (Å) after each atom.
Element x y z (fractional)
1 I 0.1740 0.3708 0.3007  4 Tl 3.27-3.46
2 I 0.1772 0.1065 0.5880  1 Al 2.58
3 Al 0.5571 0.8061 0.1939  4 I 2.54-2.59
4 I 0.2554 0.7977 0.2023  1 Al 2.54
5 I 0.6740 0.3007 0.3708  4 Tl 3.27-3.46
6 Tl 0.8755 0.5808 0.4192  6 I 3.45-3.83
7 I 0.6772 0.8935 0.4120  1 Al 2.58
8 I 0.7554 0.2023 0.7977  1 Al 2.54
9 Tl 0.9710 0.1074 0.2885  2 I 3.27-3.34
10 Tl 0.3755 0.4192 0.5808  6 I 3.45-3.83
11 Tl 0.4710 0.2885 0.1074  2 I 3.27-3.34
12 I 0.1740 0.6993 0.6292  4 Tl 3.27-3.46
13 I 0.6530 0.9496 0.0504  1 Al 2.59
14 Al 0.0571 0.1939 0.8061  4 I 2.54-2.59
15 I 0.1772 0.4120 0.8935  1 Al 2.58
16 I 0.6772 0.5880 0.1065  1 Al 2.58
17 Tl 0.9710 0.7115 0.8926  2 I 3.27-3.34
18 Tl 0.4710 0.8926 0.7115  2 I 3.27-3.34
19 I 0.1530 0.0504 0.9496  1 Al 2.59
20 I 0.6740 0.6292 0.6993  4 Tl 3.27-3.46

=====

Entry 9:
DFT (PBE) results for an optimized crystal structure of TmAl2I8.

Values from the calculation:
Mass density (g/cm³): 3.69

a = 7.2088 Å, b = 8.9580 Å, c = 8.9580 Å
α = 76.91°, β = 83.33°, γ = 83.33°
With the nearest neighbours (Å) after each atom.
Element x y z (fractional)
1 I 0.7741 0.0865 0.7260  1 Al 2.67
2 Al 0.6517 0.8067 0.8067  4 I 2.54-2.70
3 Al 0.3483 0.1933 0.1933  4 I 2.54-2.70
4 Tm 0.0000 0.0000 0.0000  6 I 3.01-3.05
5 I 0.7741 0.7260 0.0865  1 Al 2.67
6 I 0.2259 0.9135 0.2740  1 Al 2.67
7 I 0.2760 0.8131 0.8131  1 Al 2.70
8 I 0.7240 0.1869 0.1869  1 Al 2.70
9 I 0.7947 0.6303 0.6303  1 Al 2.54
10 I 0.2259 0.2740 0.9135  1 Al 2.67
11 I 0.2053 0.3697 0.3697  1 Al 2.54

=====

Entry 10:
DFT (PBE) results for an optimized crystal structure of UAl2I8.

Values from the calculation:
Mass density (g/cm³): 3.80

a = 7.3839 Å, b = 9.0231 Å, c = 9.0231 Å
α = 74.08°, β = 82.74°, γ = 82.74°
With the nearest neighbours (Å) after each atom.
Element x y z (fractional)
1 I 0.2867 0.8117 0.8117  1 Al 2.68
2 U 0.0000 0.0000 0.0000  6 I 3.17
3 I 0.7946 0.6312 0.6312  1 Al 2.53
4 I 0.7647 0.7126 0.0834  1 Al 2.64
5 I 0.2054 0.3688 0.3688  1 Al 2.53
6 I 0.7133 0.1883 0.1883  1 Al 2.68
7 Al 0.6524 0.8030 0.8030  4 I 2.53-2.68
8 Al 0.3476 0.1970 0.1970  4 I 2.53-2.68
9 I 0.2353 0.2874 0.9166  1 Al 2.64
10 I 0.7647 0.0834 0.7126  1 Al 2.64
11 I 0.2353 0.9166 0.2874  1 Al 2.64

=====

Entry 11:
DFT (PBE) results for an optimized crystal structure of AlV2I.

Values from the calculation:
Mass density (g/cm³): 6.41

a = 4.5429 Å, b = 4.5429 Å, c = 4.5429 Å
α = 60.00°, β = 60.00°, γ = 60.00°
With the nearest neighbours (Å) after each atom.
Element x y z (fractional)
1 I 0.5000 0.5000 0.5000  8 V 2.78
2 V 0.7500 0.7500 0.7500  4 Al 2.78, 4 I 2.78
3 Al 0.0000 0.0000 0.0000  8 V 2.78
4 V 0.2500 0.2500 0.2500  4 I 2.78, 4 Al 2.78

=====

Entry 12:
DFT (PBE) results for an optimized crystal structure of AlVI2.

Values from the calculation:
Mass density (g/cm³): 4.36

a = 8.4053 Å, b = 8.4053 Å, c = 6.9357 Å
α = 52.70°, β = 52.70°, γ = 90.00°
With the nearest neighbours (Å) after each atom.
Element x y z (fractional)
1 I 0.8750 0.9401 0.7500  2 V 2.76
2 Al 0.5000 0.5000 0.0000  8 I 3.50-3.74, 2 V 3.57
3 Al 0.2500 0.7500 0.5000  8 I 3.50-3.74, 2 V 3.57
4 I 0.3750 0.3099 0.7500  2 V 2.76
5 V 0.0000 0.0000 0.0000  4 I 2.76
6 I 0.0599 0.6250 0.2500  2 V 2.76
7 V 0.7500 0.2500 0.5000  4 I 2.76
8 I 0.6901 0.1250 0.2500  2 V 2.76

=====

Number 1: uncorrected formation energy 421.2 meV/atom. Number 2: uncorrected formation energy -604.5 meV/atom. Number 3: uncorrected formation energy -434.8 meV/atom. Number 4: uncorrected formation energy 126.3 meV/atom. Number 5: uncorrected formation energy -669.2 meV/atom. Number 6: uncorrected formation energy -551.9 meV/atom. Number 7: uncorrected formation energy -195.2 meV/atom. Number 8: uncorrected formation energy -662.9 meV/atom. Number 9: uncorrected formation energy -780.2 meV/atom. Number 10: uncorrected formation energy -578.9 meV/atom. Number 11: uncorrected formation energy 638.9 meV/atom. Number 12: uncorrected formation energy 292.6 meV/atom.